(1)
First-principles (GGA-PBEsol) data for crystalline Al3P4H18C3N3O16 at its relaxed geometry, as listed in Alexandria.

abc: 8.353 11.251 11.462
angles: 73.02 89.57 85.05
Positions (direct):
Al 0.148 0.153 0.428
Al 0.261 0.789 0.785
Al 0.319 0.453 0.134
Al 0.681 0.547 0.866
Al 0.739 0.211 0.215
Al 0.852 0.847 0.572
P 0.020 0.031 0.687
P 0.027 0.604 0.759
P 0.477 0.268 0.382
P 0.481 0.694 0.021
P 0.519 0.306 0.979
P 0.523 0.732 0.618
P 0.973 0.396 0.241
P 0.980 0.969 0.313
H 0.061 0.130 0.035
H 0.071 0.192 0.816
H 0.086 0.743 0.035
H 0.094 0.288 0.031
H 0.097 0.506 0.415
H 0.107 0.342 0.810
H 0.124 0.657 0.430
H 0.223 0.499 0.612
H 0.249 0.227 0.876
H 0.259 0.589 0.339
H 0.267 0.860 0.259
H 0.353 0.429 0.525
H 0.378 0.576 0.532
H 0.404 0.051 0.740
H 0.414 0.018 0.306
H 0.425 0.789 0.358
H 0.440 0.021 0.150
H 0.442 0.802 0.205
H 0.558 0.198 0.795
H 0.560 0.979 0.850
H 0.575 0.211 0.642
H 0.586 0.982 0.694
H 0.596 0.949 0.260
H 0.622 0.424 0.468
H 0.647 0.571 0.475
H 0.733 0.140 0.741
H 0.741 0.411 0.661
H 0.751 0.773 0.124
H 0.777 0.501 0.388
H 0.876 0.343 0.570
H 0.893 0.658 0.190
H 0.903 0.494 0.585
H 0.906 0.712 0.969
H 0.914 0.257 0.965
H 0.929 0.808 0.184
H 0.939 0.870 0.965
C 0.044 0.229 0.981
C 0.186 0.569 0.422
C 0.465 0.966 0.245
C 0.535 0.034 0.755
C 0.814 0.431 0.578
C 0.956 0.771 0.019
N 0.123 0.247 0.863
N 0.292 0.513 0.530
N 0.394 0.846 0.270
N 0.606 0.154 0.730
N 0.708 0.487 0.470
N 0.877 0.753 0.137
O 0.036 0.294 0.359
O 0.064 0.892 0.238
O 0.104 0.032 0.371
O 0.105 0.492 0.726
O 0.115 0.433 0.154
O 0.116 0.115 0.584
O 0.141 0.928 0.766
O 0.145 0.662 0.825
O 0.352 0.170 0.401
O 0.354 0.610 0.095
O 0.363 0.794 0.649
O 0.383 0.390 0.017
O 0.396 0.780 0.903
O 0.423 0.382 0.272
O 0.451 0.231 0.904
O 0.496 0.311 0.495
O 0.504 0.689 0.505
O 0.549 0.769 0.096
O 0.577 0.618 0.728
O 0.604 0.220 0.097
O 0.617 0.610 0.983
O 0.637 0.206 0.351
O 0.646 0.390 0.905
O 0.648 0.830 0.599
O 0.855 0.338 0.175
O 0.859 0.072 0.234
O 0.884 0.885 0.416
O 0.885 0.567 0.846
O 0.895 0.508 0.274
O 0.896 0.968 0.629
O 0.936 0.108 0.762
O 0.964 0.706 0.641

Results
DOS at the Fermi energy: 0.0 states/eV per cell
VASP energy: -6.40 eV/atom
Volume: 1026.3 Å³/cell
Theoretical density: 1.8 g cm⁻³


(2)
First-principles (GGA-PBEsol) data for crystalline Al3P3H9C3NO14 at its relaxed geometry, as listed in Alexandria.

abc: 9.027 9.027 8.635
angles: 93.81 93.81 88.27
Positions (direct):
Al 0.020 0.980 0.500
Al 0.234 0.501 0.800
Al 0.501 0.234 0.300
Al 0.525 0.744 0.297
Al 0.744 0.525 0.797
Al 0.980 0.020 0.000
P 0.000 0.747 0.754
P 0.260 0.979 0.246
P 0.469 0.500 0.534
P 0.500 0.469 0.034
P 0.747 0.000 0.254
P 0.979 0.260 0.746
H 0.064 0.676 0.328
H 0.083 0.653 0.121
H 0.088 0.329 0.369
H 0.202 0.551 0.253
H 0.307 0.891 0.830
H 0.329 0.088 0.869
H 0.367 0.808 0.603
H 0.459 0.959 0.956
H 0.551 0.202 0.753
H 0.619 0.707 0.979
H 0.653 0.083 0.621
H 0.676 0.064 0.828
H 0.707 0.619 0.479
H 0.749 0.789 0.898
H 0.789 0.749 0.398
H 0.808 0.367 0.103
H 0.891 0.307 0.330
H 0.959 0.459 0.456
C 0.088 0.596 0.230
C 0.388 0.980 0.850
C 0.459 0.886 0.597
C 0.596 0.088 0.730
C 0.886 0.459 0.097
C 0.980 0.388 0.350
N 0.479 0.982 0.718
N 0.982 0.479 0.218
O 0.049 0.831 0.618
O 0.114 0.358 0.744
O 0.139 0.673 0.831
O 0.145 0.985 0.106
O 0.176 0.995 0.397
O 0.335 0.461 0.972
O 0.346 0.833 0.233
O 0.350 0.527 0.652
O 0.358 0.114 0.244
O 0.437 0.601 0.401
O 0.461 0.335 0.472
O 0.527 0.350 0.152
O 0.533 0.624 0.112
O 0.538 0.881 0.481
O 0.601 0.437 0.901
O 0.624 0.533 0.612
O 0.637 0.881 0.198
O 0.666 0.719 0.878
O 0.673 0.139 0.331
O 0.719 0.666 0.378
O 0.831 0.049 0.118
O 0.833 0.346 0.733
O 0.863 0.934 0.376
O 0.881 0.538 0.981
O 0.881 0.637 0.698
O 0.934 0.863 0.876
O 0.985 0.145 0.606
O 0.995 0.176 0.897

Results
DOS at the Fermi energy: 0.0 states/eV per cell
VASP energy: -6.83 eV/atom
Volume: 700.3 Å³/cell
Theoretical density: 2.2 g cm⁻³